The following is a PBE-GGA calculation of CsSr2Ac3Te6 after structural relaxation, from Alexandria via LeMat-Bulk.

Geometry as CIF:
```
data_CsSr2Ac3Te6
_chemical_formula_sum 'Cs2 Sr4 Ac6 Te12'
_cell_length_a 21.163
_cell_length_b 4.766
_cell_length_c 9.835
_cell_angle_alpha 90.00
_cell_angle_beta 104.42
_cell_angle_gamma 90.00
_space_group_name_H-M_alt 'C 1 2/m 1'
_space_group_IT_number 12
loop_
_space_group_symop_operation_xyz
'x,y,z'
'-x,-y,-z'
'-x,y,-z'
'x,-y,z'
'x+1/2,y+1/2,z'
'-x+1/2,-y+1/2,-z'
'-x+1/2,y+1/2,-z'
'x+1/2,-y+1/2,z'
loop_
_atom_site_label
_atom_site_type_symbol
_atom_site_fract_x
_atom_site_fract_y
_atom_site_fract_z
_atom_site_occupancy
Cs1 Cs 0.000 0.000 0.000 1
Sr1 Sr 0.167 0.500 0.334 1
Ac1 Ac 0.000 0.000 0.500 1
Ac2 Ac 0.163 0.500 0.832 1
Te1 Te 0.002 0.500 0.272 1
Te2 Te 0.167 0.000 0.583 1
Te3 Te 0.175 0.000 0.088 1
```

## Properties
**E**: -107.235 eV per cell

The following is a PBE-GGA calculation of Cs3SrAc2Te6 after structural relaxation, from Alexandria via LeMat-Bulk.

Geometry as CIF:
```
data_Cs3SrAc2Te6
_chemical_formula_sum 'Cs6 Sr2 Ac4 Te12'
_cell_length_a 8.494
_cell_length_b 14.714
_cell_length_c 9.420
_cell_angle_alpha 90.00
_cell_angle_beta 107.48
_cell_angle_gamma 90.00
_space_group_name_H-M_alt 'C 1 2/m 1'
_space_group_IT_number 12
loop_
_space_group_symop_operation_xyz
'x,y,z'
'-x,-y,-z'
'-x,y,-z'
'x,-y,z'
'x+1/2,y+1/2,z'
'-x+1/2,-y+1/2,-z'
'-x+1/2,y+1/2,-z'
'x+1/2,-y+1/2,z'
loop_
_atom_site_label
_atom_site_type_symbol
_atom_site_fract_x
_atom_site_fract_y
_atom_site_fract_z
_atom_site_occupancy
Cs1 Cs 0.000 0.000 0.000 1
Cs2 Cs 0.000 0.335 0.000 1
Sr1 Sr 0.000 0.500 0.500 1
Ac1 Ac 0.000 0.167 0.500 1
Te1 Te 0.230 0.000 0.702 1
Te2 Te 0.236 0.331 0.702 1
```

## Properties
**E**: -95.678 eV per cell

The following is a PBE-GGA calculation of CsSr3Ac2Te6 after structural relaxation, from Alexandria via LeMat-Bulk.

Geometry as CIF:
```
data_CsSr3Ac2Te6
_chemical_formula_sum 'Cs2 Sr6 Ac4 Te12'
_cell_length_a 20.960
_cell_length_b 4.788
_cell_length_c 9.819
_cell_angle_alpha 90.00
_cell_angle_beta 102.64
_cell_angle_gamma 90.00
_space_group_name_H-M_alt 'C 1 2/m 1'
_space_group_IT_number 12
loop_
_space_group_symop_operation_xyz
'x,y,z'
'-x,-y,-z'
'-x,y,-z'
'x,-y,z'
'x+1/2,y+1/2,z'
'-x+1/2,-y+1/2,-z'
'-x+1/2,y+1/2,-z'
'x+1/2,-y+1/2,z'
loop_
_atom_site_label
_atom_site_type_symbol
_atom_site_fract_x
_atom_site_fract_y
_atom_site_fract_z
_atom_site_occupancy
Cs1 Cs 0.000 0.000 0.000 1
Sr1 Sr 0.000 0.000 0.500 1
Sr2 Sr 0.161 0.500 0.834 1
Ac1 Ac 0.166 0.500 0.335 1
Te1 Te 0.004 0.500 0.277 1
Te2 Te 0.168 0.000 0.585 1
Te3 Te 0.178 0.000 0.095 1
```

## Properties
**E**: -103.262 eV per cell

Question: E of number 2 (Cs3SrAc2Te6)?
Answer: -95.678 eV per cell

Question: Which of these has the highest E?
Answer: Cs3SrAc2Te6

Question: The lowest E belongs to which entry?
Answer: CsSr2Ac3Te6